No. 1
Density functional theory data (PBE-GGA) for a relaxed Zr3InRu2 crystal.

Output
The calculation puts the spin magnetization at 0.0 μB per cell. The value obtained for the raw total energy is -8.32 eV/atom. Its calculated density is 8.49 Mg/m³.

abc: 3.2245 3.2245 11.1162
angles: 90.00 90.00 90.00
Space group P4/mmm (No. 123)
One atom of each set of equivalent atoms:
Zr  0.0000  0.0000  0.0000 (multiplicity 1)
Zr  0.0000  0.0000  0.2998 (multiplicity 2)
In  0.5000  0.5000  0.5000 (multiplicity 1)
Ru  0.5000  0.5000  0.1488 (multiplicity 2)


No. 2
Density functional theory data (PBE-GGA) for a relaxed RbLaAgHg crystal.

Output
The calculation puts the spin magnetization at 0.0 μB per cell. For the energy above the most stable polymorph in this dataset, the calculation gives 0.0 meV per atom. The value obtained for the raw total energy is -2.45 eV/atom. Its calculated density is 6.42 Mg/m³.

abc: 3.9974 3.9974 8.6191
angles: 90.00 90.00 90.00
Space group P4mm (No. 99)
One atom of each set of equivalent atoms:
Rb  0.0000  0.0000  0.0000 (multiplicity 1)
La  0.0000  0.0000  0.4931 (multiplicity 1)
Ag  0.5000  0.5000  0.3116 (multiplicity 1)
Hg  0.5000  0.5000  0.6911 (multiplicity 1)


No. 3
Density functional theory data (PBE-GGA) for a relaxed Ac2UTlSe6 crystal.

Output
The calculation puts the spin magnetization at 3.0 μB per cell. The value obtained for the energy relative to the elements, uncorrected is -1.4138 eV per atom. The value obtained for the raw total energy is -5.69 eV/atom. Its calculated density is 6.49 Mg/m³.

abc: 7.7337 7.7337 20.2918
angles: 90.00 90.00 120.00
Space group R3 (No. 146, hexagonal axes)
One atom of each set of equivalent atoms:
Ac  0.0000  0.0000  0.0000 (multiplicity 3)
Ac  0.0000  0.0000  0.4827 (multiplicity 3)
U  0.0000  0.0000  0.6836 (multiplicity 3)
Tl  0.0000  0.0000  0.2034 (multiplicity 3)
Se  0.0162  0.3780  0.4236 (multiplicity 9)
Se  0.0162  0.7314  0.5971 (multiplicity 9)


No. 4
Density functional theory data (PBE-GGA) for a relaxed CaPuAlIn crystal.

Output
The calculation puts the spin magnetization at 23.1 μB per cell. The value obtained for the raw total energy is -5.86 eV/atom. Its calculated density is 6.71 Mg/m³.

abc: 7.4981 7.4981 7.4981
angles: 90.00 90.00 90.00
Space group F-43m (No. 216)
One atom of each set of equivalent atoms:
Ca  0.0000  0.0000  0.0000 (multiplicity 4)
Pu  0.0000  0.0000  0.5000 (multiplicity 4)
Al  0.2500  0.2500  0.2500 (multiplicity 4)
In  0.2500  0.2500  0.7500 (multiplicity 4)


No. 5
Density functional theory data (PBE-GGA) for a relaxed LaPm3Pt2 crystal.

Output
The calculation puts the spin magnetization at 0.0 μB per cell. For the energy above the most stable polymorph in this dataset, the calculation gives 0.0 meV per atom. The value obtained for the raw total energy is -6.05 eV/atom. Its calculated density is 9.66 Mg/m³.

abc: 4.9391 9.0924 7.3769
angles: 90.00 90.00 90.00
Space group Pmc2_1 (No. 26)
One atom of each set of equivalent atoms:
La  0.0000  0.0832  0.0000 (multiplicity 2)
Pm  0.0000  0.3400  0.6389 (multiplicity 2)
Pm  0.5000  0.1668  0.3524 (multiplicity 2)
Pm  0.5000  0.4192  0.9888 (multiplicity 2)
Pt  0.0000  0.3381  0.2374 (multiplicity 2)
Pt  0.5000  0.1661  0.7494 (multiplicity 2)


No. 6
Density functional theory data (PBE-GGA) for a relaxed VCo3H crystal.

Output
The calculation puts the spin magnetization at 1.2 μB per cell. For the energy above the most stable polymorph in this dataset, the calculation gives 1904.1 meV per atom. The value obtained for the raw total energy is -5.00 eV/atom. Its calculated density is 5.05 Mg/m³.

abc: 4.2200 4.2200 4.2200
angles: 90.00 90.00 90.00
Space group Pm-3m (No. 221)
One atom of each set of equivalent atoms:
V  0.0000  0.0000  0.0000 (multiplicity 1)
Co  0.0000  0.0000  0.5000 (multiplicity 3)
H  0.5000  0.5000  0.5000 (multiplicity 1)


No. 7
Density functional theory data (PBE-GGA) for a relaxed Tb6PuHg5 crystal.

Output
The calculation puts the spin magnetization at 17.3 μB per cell. The value obtained for the raw total energy is -3.98 eV/atom. Its calculated density is 11.52 Mg/m³.

abc: 5.2399 7.7089 15.7045
angles: 90.00 90.00 90.00
Space group Immm (No. 71)
One atom of each set of equivalent atoms:
Tb  0.0000  0.2331  0.0000 (multiplicity 4)
Tb  0.0000  0.2517  0.3324 (multiplicity 8)
Pu  0.0000  0.0000  0.5000 (multiplicity 2)
Hg  0.0000  0.0000  0.1708 (multiplicity 4)
Hg  0.0000  0.5000  0.1551 (multiplicity 4)
Hg  0.0000  0.5000  0.5000 (multiplicity 2)


No. 8
Density functional theory data (PBE-GGA) for a relaxed PtRhBr crystal.

Output
The calculation puts the spin magnetization at 0.0 μB per cell. The value obtained for the energy relative to the elements, uncorrected is 0.5805 eV per atom. For the energy above the most stable polymorph in this dataset, the calculation gives 219.0 meV per atom. The value obtained for the raw total energy is -4.44 eV/atom. Its calculated density is 11.92 Mg/m³.

abc: 3.0752 3.0752 11.1368
angles: 90.00 90.00 90.00
Space group I4mm (No. 107)
One atom of each set of equivalent atoms:
Pt  0.0000  0.0000  0.0000 (multiplicity 2)
Rh  0.0000  0.0000  0.3538 (multiplicity 2)
Br  0.0000  0.0000  0.6993 (multiplicity 2)